Record 1
Below is an optimized crystal structure of Cd4InAg3, with properties calculated at the PBE-GGA level.

* E above lowest polymorph: 0.000 eV per atom
* E: -1.883 eV per atom
* crystal system: orthorhombic
* DFT formation energy: -10.5 kJ/mol of formula units

Unit cell a=9.7368 b=6.3992 c=5.2448 alpha=90.00 beta=90.00 gamma=90.00
Closest atoms and distances in Å follow each position.
Space group Pmma (No. 51)
Inequivalent atoms, fractional coordinates:
Cd: 0.0000 0.2404 0.0000 (multiplicity 4)  6 Ag 3.00-3.06, 4 Cd 3.03-3.32, 2 In 3.10
Cd: 0.2500 0.2393 0.3445 (multiplicity 4)  6 Ag 2.99-3.11, 4 Cd 3.03-3.34, 2 In 3.06
In: 0.0000 0.5000 0.5000 (multiplicity 2)  4 Ag 3.03-3.20, 8 Cd 3.06-3.10
Ag: 0.0000 0.0000 0.5000 (multiplicity 2)  8 Cd 2.99-3.04, 2 Ag 3.01, 2 In 3.20
Ag: 0.2500 0.0000 0.8383 (multiplicity 2)  8 Cd 3.00-3.06, 4 Ag 3.01-3.20
Ag: 0.2500 0.5000 0.8454 (multiplicity 2)  2 In 3.03, 8 Cd 3.06-3.11, 2 Ag 3.20

=====

Record 2
Below is an optimized crystal structure of Na2SbSe4, with properties calculated at the PBE-GGA level.

* E_form (uncorrected): -332 kJ/mol of formula units
* E: -3.448 eV per atom
* crystal system: monoclinic

Unit cell a=11.9215 b=4.1350 c=7.7411 alpha=90.00 beta=108.12 gamma=90.00
Closest atoms and distances in Å follow each position.
Space group C2/m (No. 12)
Inequivalent atoms, fractional coordinates:
Na: 0.1663 0.0000 0.1600 (multiplicity 4)  7 Se 2.97-3.28
Sb: 0.0000 0.5000 0.5000 (multiplicity 2)  6 Se 2.84
Se: 0.0541 0.5000 0.8840 (multiplicity 4)  1 Se 2.52
Se: 0.1702 0.0000 0.5486 (multiplicity 4)  2 Sb 2.84, 1 Na 2.99, 2 Se 3.06